[1]
# U3Tl2AgO12 (PBE, relaxed)
data_U3Tl2AgO12
_symmetry_space_group_name_H-M 'R -3 m'
_symmetry_Int_Tables_number 166
_symmetry_space_group_name_Hall '-R 3 2"'
_cell_length_a 7.9977
_cell_length_b 7.9977
_cell_length_c 18.5701
_cell_angle_alpha 90.00
_cell_angle_beta 90.00
_cell_angle_gamma 120.00
loop_
_atom_site_label
_atom_site_fract_x
_atom_site_fract_y
_atom_site_fract_z
_atom_site_occupancy
U1 0.0000 0.5000 0.0000 1
Tl1 0.0000 0.0000 0.1674 1
Ag1 0.0000 0.0000 0.5000 1
O1 0.0756 0.5378 0.1024 1
O2 0.0929 0.5464 0.3622 1
# - Volume: 342.9 Å³/f.u.
# - Energy relative to the elements, uncorrected: -2107 meV/atom
# - Density of states at the Fermi level: 17.107 states/eV per cell


[2]
# Na6SrLi (PBE, relaxed)
data_Na6SrLi
_symmetry_space_group_name_H-M 'P m -3'
_symmetry_Int_Tables_number 200
_symmetry_space_group_name_Hall '-P 2 2 3'
_cell_length_a 6.745
_cell_length_b 6.745
_cell_length_c 6.745
_cell_angle_alpha 90.00
_cell_angle_beta 90.00
_cell_angle_gamma 90.00
loop_
_atom_site_label
_atom_site_fract_x
_atom_site_fract_y
_atom_site_fract_z
_atom_site_occupancy
Na1 0.000 0.262 0.500 1
Sr1 0.000 0.000 0.000 1
Li1 0.500 0.500 0.500 1
# - Formation energy from the elements: 0.763 eV per formula unit
# - Volume: 306.9 Å³/f.u.
# - Density of states at the Fermi level: 6.078 states/eV per cell